(1)
Below is an optimized crystal structure of Al4CrRu5, with properties calculated at the GGA-PBE level.

Cell lengths 2.9906, 2.9906, 15.0611 Å; angles 90.00, 90.00, 90.00 degrees
With the nearest neighbours (Å) after each atom.
Fractional positions:
Ru 0.5000 0.5000 0.5000  8 Al 2.60
Ru 0.5000 0.5000 0.9025  4 Cr 2.57, 4 Al 2.63
Ru 0.5000 0.5000 0.2986  8 Al 2.57-2.60
Ru 0.5000 0.5000 0.7014  8 Al 2.57-2.60
Ru 0.5000 0.5000 0.0975  4 Cr 2.57, 4 Al 2.63
Cr 0.0000 0.0000 0.0000  8 Ru 2.57
Al 0.0000 0.0000 0.7984  8 Ru 2.57-2.63
Al 0.0000 0.0000 0.6006  8 Ru 2.60
Al 0.0000 0.0000 0.3994  8 Ru 2.60
Al 0.0000 0.0000 0.2016  8 Ru 2.57-2.63

Its crystal system is tetragonal. The formation energy from the elements comes out at -0.5377 eV/atom. The final energy comes out at -76.35 eV for the cell shown. As for the space-group type: P4/mmm, No. 123.

***

(2)
Below is an optimized crystal structure of AlCrRu, with properties calculated at the GGA-PBE level.

Cell lengths 5.0759, 5.0759, 5.0759 Å; angles 146.73, 146.73, 47.76 degrees
With the nearest neighbours (Å) after each atom.
Fractional positions:
Al 0.9987 0.9987 0.0000  4 Cr 2.59, 4 Ru 2.61
Cr 0.3294 0.3294 0.0000  4 Ru 2.52, 4 Al 2.59
Ru 0.6719 0.6719 0.0000  4 Cr 2.52, 4 Al 2.61

Its crystal system is tetragonal. The formation energy from the elements comes out at -0.3222 eV/atom. The final energy comes out at -23.61 eV for the cell shown. As for the space-group type: I4mm, No. 107.

***

(3)
Below is an optimized crystal structure of Al3CrRu4, with properties calculated at the GGA-PBE level.

Cell lengths 2.9814, 2.9814, 12.0977 Å; angles 90.00, 90.00, 90.00 degrees
With the nearest neighbours (Å) after each atom.
Fractional positions:
Al 0.5000 0.5000 0.7478  8 Ru 2.57-2.63
Al 0.5000 0.5000 0.2522  8 Ru 2.57-2.63
Al 0.5000 0.5000 0.5000  8 Ru 2.60
Ru 0.0000 0.0000 0.6260  8 Al 2.57-2.60
Ru 0.0000 0.0000 0.8780  4 Cr 2.57, 4 Al 2.63
Ru 0.0000 0.0000 0.1220  4 Cr 2.57, 4 Al 2.63
Ru 0.0000 0.0000 0.3740  8 Al 2.57-2.60
Cr 0.5000 0.5000 0.0000  8 Ru 2.57

Its crystal system is tetragonal. The formation energy from the elements comes out at -0.5058 eV/atom. The final energy comes out at -62.00 eV for the cell shown. As for the space-group type: P4/mmm, No. 123.

***

(4)
Below is an optimized crystal structure of AlCrRu, with properties calculated at the GGA-PBE level.

Cell lengths 4.0564, 4.0564, 4.0564 Å; angles 60.00, 60.00, 60.00 degrees
With the nearest neighbours (Å) after each atom.
Fractional positions:
Cr 0.5000 0.5000 0.5000  4 Ru 2.48
Al 0.0000 0.0000 0.0000  4 Ru 2.48
Ru 0.7500 0.7500 0.7500  4 Cr 2.48, 4 Al 2.48

Its crystal system is cubic. The formation energy from the elements comes out at 0.1334 eV/atom. The final energy comes out at -22.24 eV for the cell shown. As for the space-group type: F-43m, No. 216.

***

(5)
Below is an optimized crystal structure of Al2CrRu2, with properties calculated at the GGA-PBE level.

Cell lengths 6.9474, 6.9474, 2.9788 Å; angles 90.00, 90.00, 90.00 degrees
With the nearest neighbours (Å) after each atom.
Fractional positions:
Cr 0.5000 0.5000 0.0000  4 Al 2.71, 2 Cr 2.98, 8 Ru 2.99
Cr 0.0000 0.0000 0.0000  4 Al 2.71, 2 Cr 2.98, 8 Ru 2.99
Ru 0.1660 0.6660 0.5000  6 Al 2.48-2.57
Ru 0.8340 0.3340 0.5000  6 Al 2.48-2.57
Ru 0.3340 0.1660 0.5000  6 Al 2.48-2.57
Ru 0.6660 0.8340 0.5000  6 Al 2.48-2.57
Al 0.1328 0.3672 0.0000  6 Ru 2.48-2.57, 1 Al 2.61, 2 Cr 2.71
Al 0.6328 0.1328 0.0000  6 Ru 2.48-2.57, 1 Al 2.61, 2 Cr 2.71
Al 0.3672 0.8672 0.0000  6 Ru 2.48-2.57, 1 Al 2.61, 2 Cr 2.71
Al 0.8672 0.6328 0.0000  6 Ru 2.48-2.57, 1 Al 2.61, 2 Cr 2.71

Its crystal system is tetragonal. The formation energy from the elements comes out at -0.2309 eV/atom. The final energy comes out at -73.63 eV for the cell shown. As for the space-group type: P4/mbm, No. 127.

***

(6)
Below is an optimized crystal structure of AlCr3Ru, with properties calculated at the GGA-PBE level.

Cell lengths 4.2791, 4.2791, 4.2791 Å; angles 90.00, 90.00, 90.00 degrees
With the nearest neighbours (Å) after each atom.
Fractional positions:
Cr 0.0000 0.5000 0.0000  2 Al 2.14
Cr 0.0000 0.0000 0.5000  2 Al 2.14
Cr 0.5000 0.0000 0.0000  2 Al 2.14
Ru 0.5000 0.5000 0.5000  12 Cr 3.03
Al 0.0000 0.0000 0.0000  6 Cr 2.14

Its crystal system is cubic. The formation energy from the elements comes out at 1.6424 eV/atom. The final energy comes out at -33.68 eV for the cell shown. As for the space-group type: Pm-3m, No. 221.

***

(7)
Below is an optimized crystal structure of AlCr2Ru2, with properties calculated at the GGA-PBE level.

Cell lengths 7.1424, 7.1424, 2.7447 Å; angles 90.00, 90.00, 90.00 degrees
With the nearest neighbours (Å) after each atom.
Fractional positions:
Al 0.5000 0.5000 0.0000  2 Al 2.74, 4 Ru 2.79, 8 Cr 3.01
Al 0.0000 0.0000 0.0000  2 Al 2.74, 4 Ru 2.79, 8 Cr 3.01
Ru 0.8676 0.6324 0.0000  6 Cr 2.49-2.52, 3 Ru 2.68-2.74, 2 Al 2.79
Ru 0.6324 0.1324 0.0000  6 Cr 2.49-2.52, 3 Ru 2.68-2.74, 2 Al 2.79
Ru 0.3676 0.8676 0.0000  6 Cr 2.49-2.52, 3 Ru 2.68-2.74, 2 Al 2.79
Ru 0.1324 0.3676 0.0000  6 Cr 2.49-2.52, 3 Ru 2.68-2.74, 2 Al 2.79
Cr 0.3385 0.1615 0.5000  6 Ru 2.49-2.52, 2 Cr 2.74
Cr 0.1615 0.6615 0.5000  6 Ru 2.49-2.52, 2 Cr 2.74
Cr 0.6615 0.8385 0.5000  6 Ru 2.49-2.52, 2 Cr 2.74
Cr 0.8385 0.3385 0.5000  6 Ru 2.49-2.52, 2 Cr 2.74

Its crystal system is tetragonal. The formation energy from the elements comes out at 0.1047 eV/atom. The final energy comes out at -82.04 eV for the cell shown. As for the space-group type: P4/mbm, No. 127.

***

(8)
Below is an optimized crystal structure of Sc2Al2CrRu5, with properties calculated at the GGA-PBE level.

Cell lengths 3.1700, 9.8399, 9.8399 Å; angles 90.00, 90.00, 90.00 degrees
With the nearest neighbours (Å) after each atom.
Fractional positions:
Ru 0.5000 0.5000 0.0000  4 Al 2.41
Ru 0.5000 0.6914 0.4371  2 Al 2.45, 2 Cr 2.54
Ru 0.5000 0.3086 0.5629  2 Al 2.45, 2 Cr 2.54
Ru 0.5000 0.1914 0.0629  2 Al 2.45, 2 Cr 2.54
Ru 0.5000 0.9371 0.1914  2 Al 2.45, 2 Cr 2.54
Ru 0.5000 0.4371 0.3086  2 Al 2.45, 2 Cr 2.54
Ru 0.5000 0.8086 0.9371  2 Al 2.45, 2 Cr 2.54
Ru 0.5000 0.0629 0.8086  2 Al 2.45, 2 Cr 2.54
Ru 0.5000 0.0000 0.5000  4 Al 2.41
Ru 0.5000 0.5629 0.6914  2 Al 2.45, 2 Cr 2.54
Sc 0.0000 0.3309 0.8309  3 Al 2.78-2.98, 10 Ru 2.84-3.10
Sc 0.0000 0.6691 0.1691  3 Al 2.78-2.98, 10 Ru 2.84-3.10
Sc 0.0000 0.8309 0.6691  3 Al 2.78-2.98, 10 Ru 2.84-3.10
Sc 0.0000 0.1691 0.3309  3 Al 2.78-2.98, 10 Ru 2.84-3.10
Al 0.0000 0.6309 0.8691  6 Ru 2.41-2.45
Al 0.0000 0.1309 0.6309  6 Ru 2.41-2.45
Al 0.0000 0.8691 0.3691  6 Ru 2.41-2.45
Al 0.0000 0.3691 0.1309  6 Ru 2.41-2.45
Cr 0.0000 0.5000 0.5000  8 Ru 2.54
Cr 0.0000 0.0000 0.0000  8 Ru 2.54

Its crystal system is tetragonal. The formation energy from the elements comes out at -0.3262 eV/atom. The final energy comes out at -158.83 eV for the cell shown. As for the space-group type: P4/mbm, No. 127.

***

(9)
Below is an optimized crystal structure of SrAl2CrRu, with properties calculated at the GGA-PBE level.

Cell lengths 5.3108, 5.0211, 5.3108 Å; angles 90.00, 90.00, 90.00 degrees
With the nearest neighbours (Å) after each atom.
Fractional positions:
Cr 0.0000 0.5000 0.0000  2 Sr 2.51
Al 0.5000 0.0000 0.0000  2 Sr 2.66
Al 0.0000 0.0000 0.5000  2 Sr 2.66
Ru 0.5000 0.5000 0.5000  8 Al 3.65, 4 Cr 3.76
Sr 0.0000 0.0000 0.0000  2 Cr 2.51, 4 Al 2.66

Its crystal system is tetragonal. The formation energy from the elements comes out at 2.4471 eV/atom. The final energy comes out at -15.83 eV for the cell shown. As for the space-group type: P4/mmm, No. 123.

***

(10)
Below is an optimized crystal structure of AlCrTcRu, with properties calculated at the GGA-PBE level.

Cell lengths 4.2338, 4.2338, 4.2338 Å; angles 60.00, 60.00, 60.00 degrees
With the nearest neighbours (Å) after each atom.
Fractional positions:
Cr 0.5000 0.5000 0.5000  4 Tc 2.59, 4 Ru 2.59
Tc 0.2500 0.2500 0.2500  4 Cr 2.59, 4 Al 2.59
Ru 0.7500 0.7500 0.7500  4 Cr 2.59, 4 Al 2.59
Al 0.0000 0.0000 0.0000  4 Tc 2.59, 4 Ru 2.59

Its crystal system is cubic. The formation energy from the elements comes out at -0.2531 eV/atom. The final energy comes out at -34.02 eV for the cell shown. As for the space-group type: F-43m, No. 216.

***

(11)
Below is an optimized crystal structure of AlCrTeRu2, with properties calculated at the GGA-PBE level.

Cell lengths 4.4390, 4.9817, 4.4390 Å; angles 90.00, 90.00, 90.00 degrees
With the nearest neighbours (Å) after each atom.
Fractional positions:
Al 0.0000 0.0000 0.0000  4 Ru 2.22
Te 0.0000 0.5000 0.0000  2 Al 2.49
Cr 0.5000 0.5000 0.5000  4 Te 3.14, 8 Ru 3.34
Ru 0.0000 0.0000 0.5000  2 Al 2.22
Ru 0.5000 0.0000 0.0000  2 Al 2.22

Its crystal system is tetragonal. The final energy comes out at -27.06 eV for the cell shown. As for the space-group type: P4/mmm, No. 123. The formation energy without anion corrections is 1.599 eV per atom.

***

(12)
Below is an optimized crystal structure of AlTlCr2Ru, with properties calculated at the GGA-PBE level.

Cell lengths 5.0201, 5.0264, 5.0201 Å; angles 90.00, 90.00, 90.00 degrees
With the nearest neighbours (Å) after each atom.
Fractional positions:
Al 0.5000 0.5000 0.5000  4 Ru 3.55, 8 Cr 3.55
Cr 0.5000 0.0000 0.0000  2 Tl 2.51
Cr 0.0000 0.0000 0.5000  2 Tl 2.51
Ru 0.0000 0.5000 0.0000  2 Tl 2.51
Tl 0.0000 0.0000 0.0000  4 Cr 2.51, 2 Ru 2.51

Its crystal system is tetragonal. The formation energy from the elements comes out at 1.7899 eV/atom. The final energy comes out at -25.68 eV for the cell shown. As for the space-group type: P4/mmm, No. 123.

***

- The lowest final energy belongs to which entry?
  Sc2Al2CrRu5